The following is a DFT calculation (PBE) of crystalline LiTeIrAu2 at its relaxed geometry.

Properties
**Space group**: P4/mmm, No. 123
**Formation energy (no corrections)**: 1.080 eV per atom
**DFT total energy**: -3.0138 eV per atom

a = 5.1750 Å, b = 5.1750 Å, c = 4.7427 Å
α = 90.00°, β = 90.00°, γ = 90.00°
Atoms (fractional coordinates):
Li: 0.0000 0.0000 0.0000
Te: 0.0000 0.0000 0.5000
Ir: 0.5000 0.5000 0.0000
Au: 0.0000 0.5000 0.5000
Au: 0.5000 0.0000 0.5000

=====

The following is a DFT calculation (PBE) of crystalline LiThIrAu at its relaxed geometry.

Properties
**Space group**: F-43m, No. 216
**DFT formation energy**: -48.5 kJ/mol of atoms
**DFT total energy**: -5.8712 eV per atom

a = 4.8785 Å, b = 4.8785 Å, c = 4.8785 Å
α = 60.00°, β = 60.00°, γ = 60.00°
Atoms (fractional coordinates):
Li: 0.0000 0.0000 0.0000
Th: 0.5000 0.5000 0.5000
Ir: 0.2500 0.2500 0.2500
Au: 0.7500 0.7500 0.7500

=====

Q: The highest DFT total energy belongs to which entry?
A: LiTeIrAu2

=====

Q: DFT total energy of number 1 (LiTeIrAu2)?
A: -3.0138 eV per atom

=====

Q: Which value of DFT total energy does entry 2 give?
A: -5.8712 eV per atom

=====

Q: What is the DFT total energy in the first record?
A: -3.0138 eV per atom